# 1
Material: TmScPa2P4
Method: DFT, PBE
State: optimized geometry

Calculated values
Volume in Å³ per cell: 169.15
Energy relative to the elements in eV per atom: -1.412
DOS(E_F) in states/eV/atom: 0.851

abc: 6.744 3.922 6.788
angles: 90.00 109.62 90.00
Space group P2/m (No. 10)
One atom of each set of equivalent atoms:
Tm 0.000 0.000 0.000
Sc 0.000 0.500 0.500
Pa 0.500 0.000 0.500
Pa 0.500 0.500 0.000
P 0.241 0.000 0.743
P 0.244 0.500 0.253

# 2
Material: CaLaO3
Method: DFT, PBE
State: optimized geometry

Calculated values
Volume in Å³ per cell: 73.65
DOS(E_F) in states/eV/atom: 0.334

abc: 4.192 4.192 4.192
angles: 90.00 90.00 90.00
Space group Pm-3m (No. 221)
One atom of each set of equivalent atoms:
Ca 0.000 0.000 0.000
La 0.500 0.500 0.500
O 0.000 0.000 0.500

# 3
Material: AgAuO2
Method: DFT, PBE
State: optimized geometry

Calculated values
Volume in Å³ per cell: 122.69

abc: 5.616 4.067 5.533
angles: 90.00 103.83 90.00
Space group P2_1/c (No. 14)
One atom of each set of equivalent atoms:
Ag 0.000 0.000 0.000
Au 0.500 0.000 0.500
O 0.300 0.210 0.723

# 4
Material: CsRb4Na4
Method: DFT, PBE
State: optimized geometry

Calculated values
Volume in Å³ per cell: 1249.63
Energy above the lowest structure with this stoichiometry in eV/atom: 0.000
Energy relative to the elements in eV per atom: 0.059
DOS(E_F) in states/eV/atom: 0.756

abc: 9.312 9.312 14.412
angles: 90.00 90.00 90.00
Space group P4_2/n (No. 86, origin choice 2)
One atom of each set of equivalent atoms:
Cs 0.250 0.250 0.250
Rb 0.004 0.657 0.134
Na 0.093 0.633 0.423

# 5
Material: Na2MnSbSe4
Method: DFT, PBE
State: optimized geometry

Calculated values
Volume in Å³ per cell: 193.32
DOS(E_F) in states/eV/atom: 0.449

abc: 6.914 3.981 7.386
angles: 90.00 108.03 90.00
Space group P2/m (No. 10)
One atom of each set of equivalent atoms:
Na 0.000 0.000 0.000
Na 0.500 0.500 0.000
Mn 0.000 0.500 0.500
Sb 0.500 0.000 0.500
Se 0.220 0.000 0.711
Se 0.233 0.500 0.281

# 6
Material: BeCo2Os
Method: DFT, PBE
State: optimized geometry

Calculated values
Volume in Å³ per cell: 93.20
Energy relative to the elements in eV per atom: 0.205
DOS(E_F) in states/eV/atom: 1.216

abc: 2.749 4.297 7.889
angles: 90.00 90.00 90.00
Space group Cmm2 (No. 35)
One atom of each set of equivalent atoms:
Be 0.000 0.000 0.000
Co 0.000 0.000 0.524
Co 0.000 0.500 0.775
Os 0.000 0.500 0.245

# 7
Material: Na3SrBi
Method: DFT, PBE
State: optimized geometry

Calculated values
Volume in Å³ per cell: 223.32
Energy above the lowest structure with this stoichiometry in eV/atom: 0.000
Energy relative to the elements in eV per atom: -0.071
DOS(E_F) in states/eV/atom: 0.007

abc: 6.067 6.067 6.067
angles: 90.00 90.00 90.00
Space group Pm-3m (No. 221)
One atom of each set of equivalent atoms:
Na 0.000 0.000 0.500
Sr 0.500 0.500 0.500
Bi 0.000 0.000 0.000

# 8
Material: SmHfCoRu
Method: DFT, PBE
State: optimized geometry

Calculated values
Volume in Å³ per cell: 293.25
Energy relative to the elements in eV per atom: -0.255
DOS(E_F) in states/eV/atom: 0.380

abc: 6.644 6.644 6.644
angles: 90.00 90.00 90.00
Space group F-43m (No. 216)
One atom of each set of equivalent atoms:
Sm 0.000 0.000 0.000
Hf 0.000 0.000 0.500
Co 0.250 0.250 0.250
Ru 0.250 0.250 0.750

# 9
Material: CsPbSe
Method: DFT, PBE
State: optimized geometry

Calculated values
Volume in Å³ per cell: 126.22
Energy above the lowest structure with this stoichiometry in eV/atom: 0.025
DOS(E_F) in states/eV/atom: 0.602

abc: 5.1481 5.1481 5.4991
angles: 90.00 90.00 120.00
Space group P-6m2 (No. 187)
One atom of each set of equivalent atoms:
Cs 0.0000 0.0000 0.0000
Pb 0.6667 0.3333 0.5000
Se 0.3333 0.6667 0.5000

# 10
Material: Tl3Cu2GeBr8
Method: DFT, PBE
State: optimized geometry

Calculated values
Volume in Å³ per cell: 463.95
DOS(E_F) in states/eV/atom: 0.327

abc: 7.5697 7.5697 9.3494
angles: 90.00 90.00 120.00
Space group P-3m1 (No. 164)
One atom of each set of equivalent atoms:
Tl 0.0000 0.0000 0.0000
Tl 0.3333 0.6667 0.6185
Cu 0.3333 0.6667 0.1988
Ge 0.0000 0.0000 0.5000
Br 0.1659 0.3318 0.3220
Br 0.3333 0.6667 0.9517

# 11
Material: InTc2Rh
Method: DFT, PBE
State: optimized geometry

Calculated values
Volume in Å³ per cell: 125.78
Energy relative to the elements in eV per atom: 0.159
DOS(E_F) in states/eV/atom: 1.252

abc: 3.973 3.973 7.970
angles: 90.00 90.00 90.00
Space group I-4m2 (No. 119)
One atom of each set of equivalent atoms:
In 0.000 0.000 0.000
Tc 0.000 0.000 0.500
Tc 0.000 0.500 0.250
Rh 0.000 0.500 0.750

Number 1: electronic total energy -7.84 eV per atom. Number 2: electronic total energy -6.56 eV per atom. Number 3: electronic total energy -4.12 eV per atom. Number 4: electronic total energy -1.05 eV per atom. Number 5: electronic total energy -4.38 eV per atom. Number 6: electronic total energy -7.09 eV per atom. Number 7: electronic total energy -1.97 eV per atom. Number 8: electronic total energy -8.02 eV per atom. Number 9: electronic total energy -3.24 eV per atom. Number 10: electronic total energy -2.93 eV per atom. Number 11: electronic total energy -7.55 eV per atom.